Computed, not measured: a geometry-optimized BaMn2Te structure at the PBE-GGA level of DFT.

* E_form (uncorrected): 313 meV per atom
* space-group type: Immm (71)

Structure (extended XYZ):
```
4
Lattice="6.396 0.012 -0.005 2.781 5.760 0.005 -3.932 -3.930 3.164" Properties=species:S:1:pos:R:3 pbc="T T T"
Mn 8.817 5.546 0.000
Mn 4.948 3.112 0.000
Te 3.526 -0.516 1.579
Ba 1.718 2.358 1.585
```